(1)
TlCd2: optimized geometry, PBE.

Lattice parameters (Å, degrees): 6.340 4.866 10.073 90.00 90.00 90.00
Space group Pnma (No. 62)
Asymmetric unit:
Tl  0.114  0.250  0.096 (multiplicity 4)
Cd  0.114  0.250  0.424 (multiplicity 4)
Cd  0.119  0.250  0.740 (multiplicity 4)

Properties
- volume (Å³ per atom) = 25.90
- E (eV per cell) = -16.12
- formation enthalpy at 0 K (eV per atom) = 0.055

(2)
Er4TmSb5: optimized geometry, PBE.

Lattice parameters (Å, degrees): 4.348 6.148 21.735 90.00 90.00 90.00
Space group Immm (No. 71)
Asymmetric unit:
Er  0.000  0.000  0.100 (multiplicity 4)
Er  0.000  0.000  0.300 (multiplicity 4)
Tm  0.000  0.000  0.500 (multiplicity 2)
Sb  0.000  0.500  0.100 (multiplicity 4)
Sb  0.000  0.500  0.300 (multiplicity 4)
Sb  0.000  0.500  0.500 (multiplicity 2)

Properties
- volume (Å³ per atom) = 29.05
- E (eV per cell) = -108.46
- E_form (uncorrected) (meV/atom) = -1089.6

(3)
BeAlCl2: optimized geometry, PBE.

Lattice parameters (Å, degrees): 6.501 6.501 9.157 90.00 90.00 90.00
Space group I-42d (No. 122)
Asymmetric unit:
Be  0.000  0.000  0.000 (multiplicity 4)
Al  0.000  0.000  0.500 (multiplicity 4)
Cl  0.073  0.250  0.125 (multiplicity 8)

Properties
- volume (Å³ per atom) = 24.19
- E (eV per cell) = -48.82
- E above lowest polymorph (meV/atom) = 390
- E_form (uncorrected) (meV/atom) = -261.0

(4)
BeB6N6: optimized geometry, PBE.

Lattice parameters (Å, degrees): 4.522 4.522 4.522 90.00 90.00 90.00
Space group Pm-3 (No. 200)
Asymmetric unit:
Be  0.000  0.000  0.000 (multiplicity 1)
B  0.000  0.247  0.500 (multiplicity 6)
N  0.000  0.500  0.252 (multiplicity 6)

Properties
- volume (Å³ per atom) = 7.11
- E (eV per cell) = -98.31
- E_form (uncorrected) (meV/atom) = -351.4

(5)
Li4Tb3InTe8: optimized geometry, PBE.

Lattice parameters (Å, degrees): 8.6812 8.6812 21.1340 90.00 90.00 120.00
Space group R-3m (No. 166, hexagonal axes)
Asymmetric unit:
Li  0.0000  0.0000  0.0000 (multiplicity 3)
Li  0.0000  0.5000  0.0000 (multiplicity 9)
Tb  0.0000  0.5000  0.5000 (multiplicity 9)
In  0.0000  0.0000  0.5000 (multiplicity 3)
Te  0.0000  0.0000  0.2522 (multiplicity 6)
Te  0.0053  0.5026  0.2517 (multiplicity 18)

Properties
- volume (Å³ per atom) = 28.74
- E (eV per cell) = -200.33
- E_form (uncorrected) (meV/atom) = -1084.9

(6)
Sr5Tl: optimized geometry, PBE.

Lattice parameters (Å, degrees): 10.802 10.802 10.802 90.00 90.00 90.00
Space group F-43m (No. 216)
Asymmetric unit:
Sr  0.000  0.000  0.000 (multiplicity 4)
Sr  0.125  0.125  0.625 (multiplicity 16)
Tl  0.250  0.250  0.250 (multiplicity 4)

Properties
- volume (Å³ per atom) = 52.51
- E (eV per cell) = -38.42
- formation enthalpy at 0 K (eV per atom) = 0.195
- E above lowest polymorph (meV/atom) = 336

(7)
Zn2Ag: optimized geometry, PBE.

Lattice parameters (Å, degrees): 2.846 2.846 24.668 90.00 90.00 90.00
Space group I4_1/amd (No. 141, origin choice 2)
Asymmetric unit:
Zn  0.000  0.250  0.294 (multiplicity 8)
Ag  0.000  0.250  0.875 (multiplicity 4)

Properties
- volume (Å³ per atom) = 16.65
- E (eV per cell) = -21.23
- formation enthalpy at 0 K (eV per atom) = 0.030

(8)
SrY2Cr: optimized geometry, PBE.

Lattice parameters (Å, degrees): 3.826 5.565 11.594 90.00 90.00 90.00
Space group Imm2 (No. 44)
Asymmetric unit:
Sr  0.000  0.000  0.000 (multiplicity 2)
Y  0.000  0.000  0.582 (multiplicity 2)
Y  0.000  0.500  0.790 (multiplicity 2)
Cr  0.000  0.500  0.275 (multiplicity 2)

Properties
- volume (Å³ per atom) = 30.86
- E (eV per cell) = -45.12
- formation enthalpy at 0 K (eV per atom) = 0.419
- E above lowest polymorph (meV/atom) = 143

(9)
LaCl5: optimized geometry, PBE.

Lattice parameters (Å, degrees): 5.2089 5.2089 5.8382 90.00 90.00 120.00
Space group P-62m (No. 189)
Asymmetric unit:
La  0.0000  0.0000  0.0000 (multiplicity 1)
Cl  0.0000  0.6871  0.5000 (multiplicity 3)
Cl  0.3333  0.6667  0.0000 (multiplicity 2)

Properties
- volume (Å³ per atom) = 22.86
- E (eV per cell) = -21.11
- E above lowest polymorph (meV/atom) = 387
- E_form (uncorrected) (meV/atom) = -1158.0